Crystalline Cs2DySbS4 at its relaxed geometry, computed with PBE.

Summary:
Formation energy (no corrections) in eV per atom: -1.078
ρ in g/cm³: 3.40
N(E_F) in states/eV/atom: 0.000
Calculated volume in Å³ per cell: 2654

The structure in CIF format:
```
data_Cs2DySbS4
_symmetry_space_group_name_H-M 'F d d d'
_symmetry_Int_Tables_number 70
_cell_length_a 6.991
_cell_length_b 15.171
_cell_length_c 25.025
_cell_angle_alpha 90.00
_cell_angle_beta 90.00
_cell_angle_gamma 90.00
loop_
_symmetry_equiv_pos_as_xyz
'x,y,z'
'-x,-y,-z'
'-x+1/4,-y+1/4,z'
'x+1/4,y+1/4,-z'
'x,-y+1/4,-z+1/4'
'-x,y+1/4,z+1/4'
'-x+1/4,y,-z+1/4'
'x+1/4,-y,z+1/4'
'x,y+1/2,z+1/2'
'-x,-y+1/2,-z+1/2'
'-x+1/4,-y+3/4,z+1/2'
'x+1/4,y+3/4,-z+1/2'
'x,-y+3/4,-z+3/4'
'-x,y+3/4,z+3/4'
'-x+1/4,y+1/2,-z+3/4'
'x+1/4,-y+1/2,z+3/4'
'x+1/2,y,z+1/2'
'-x+1/2,-y,-z+1/2'
'-x+3/4,-y+1/4,z+1/2'
'x+3/4,y+1/4,-z+1/2'
'x+1/2,-y+1/4,-z+3/4'
'-x+1/2,y+1/4,z+3/4'
'-x+3/4,y,-z+3/4'
'x+3/4,-y,z+3/4'
'x+1/2,y+1/2,z'
'-x+1/2,-y+1/2,-z'
'-x+3/4,-y+3/4,z'
'x+3/4,y+3/4,-z'
'x+1/2,-y+3/4,-z+1/4'
'-x+1/2,y+3/4,z+1/4'
'-x+3/4,y+1/2,-z+1/4'
'x+3/4,-y+1/2,z+1/4'
loop_
_atom_site_label
_atom_site_type_symbol
_atom_site_fract_x
_atom_site_fract_y
_atom_site_fract_z
Cs1 Cs 0.125 0.125 0.306
Dy1 Dy 0.125 0.125 0.125
Sb1 Sb 0.125 0.125 0.625
S1 S 0.117 0.279 0.427
```